1.
A plane-wave DFT calculation with PBE was carried out for a geometry-optimized Np2InSi2Ir5 structure.

Cell lengths 3.6704, 9.6925, 9.6925 Å; angles 90.00, 90.00, 90.00 degrees
Sites, in units of the cell vectors:
Np (0.0000, 0.6777, 0.1777)
Np (0.0000, 0.3223, 0.8223)
Np (0.0000, 0.1777, 0.3223)
Np (0.0000, 0.8223, 0.6777)
In (0.0000, 0.0000, 0.0000)
In (0.0000, 0.5000, 0.5000)
Si (0.0000, 0.1207, 0.6207)
Si (0.0000, 0.8793, 0.3793)
Si (0.0000, 0.6207, 0.8793)
Si (0.0000, 0.3793, 0.1207)
Ir (0.5000, 0.2169, 0.0693)
Ir (0.5000, 0.7831, 0.9307)
Ir (0.5000, 0.0693, 0.7831)
Ir (0.5000, 0.7169, 0.4307)
Ir (0.5000, 0.9307, 0.2169)
Ir (0.5000, 0.2831, 0.5693)
Ir (0.5000, 0.5693, 0.7169)
Ir (0.5000, 0.4307, 0.2831)
Ir (0.5000, 0.5000, 0.0000)
Ir (0.5000, 0.0000, 0.5000)

Values from the calculation:
SG = No. 127
E_tot = -8.783 eV/atom



2.
A plane-wave DFT calculation with PBE was carried out for a geometry-optimized NpInTcIr structure.

Cell lengths 4.7022, 4.7022, 4.7022 Å; angles 60.00, 60.00, 60.00 degrees
Sites, in units of the cell vectors:
Np (0.5000, 0.5000, 0.5000)
Ir (0.7500, 0.7500, 0.7500)
Tc (0.2500, 0.2500, 0.2500)
In (0.0000, 0.0000, 0.0000)

Values from the calculation:
energy relative to the elements = -0.07 eV/atom
SG = No. 216



3.
A plane-wave DFT calculation with PBE was carried out for a geometry-optimized NpZnInIr structure.

Cell lengths 4.7966, 4.7966, 4.7966 Å; angles 60.00, 60.00, 60.00 degrees
Sites, in units of the cell vectors:
Np (0.2500, 0.2500, 0.2500)
Zn (0.0000, 0.0000, 0.0000)
Ir (0.5000, 0.5000, 0.5000)
In (0.7500, 0.7500, 0.7500)

Values from the calculation:
energy relative to the elements = -0.05 eV/atom
SG = No. 216



4.
A plane-wave DFT calculation with PBE was carried out for a geometry-optimized InIrO4 structure.

Cell lengths 4.7614, 5.5968, 5.7931 Å; angles 108.72, 90.00, 90.00 degrees
Sites, in units of the cell vectors:
In (0.0000, 0.5000, 0.5000)
In (0.5000, 0.0000, 0.5000)
Ir (0.5000, 0.5000, 0.0000)
Ir (0.0000, 0.0000, 0.0000)
O (0.2935, 0.8300, 0.1263)
O (0.2065, 0.3300, 0.1263)
O (0.6574, 0.6277, 0.3319)
O (0.1574, 0.8723, 0.6681)
O (0.8426, 0.1277, 0.3319)
O (0.3426, 0.3723, 0.6681)
O (0.7935, 0.6700, 0.8737)
O (0.7065, 0.1700, 0.8737)

Values from the calculation:
ΔE to the lowest computed polymorph = 0 meV/atom
SG = No. 14



5.
A plane-wave DFT calculation with PBE was carried out for a geometry-optimized InIrO4 structure.

Cell lengths 5.7468, 5.7468, 5.7468 Å; angles 109.25, 109.25, 109.91 degrees
Sites, in units of the cell vectors:
In (0.7533, 0.7533, 0.0000)
In (0.5033, 0.0033, 0.5000)
Ir (0.2440, 0.2440, 0.0000)
Ir (0.9940, 0.4940, 0.5000)
O (0.2326, 0.9328, 0.7002)
O (0.7687, 0.4564, 0.6876)
O (0.6828, 0.4826, 0.2002)
O (0.2064, 0.0187, 0.1876)
O (0.2823, 0.4826, 0.7998)
O (0.8311, 0.0187, 0.8124)
O (0.7687, 0.0811, 0.3124)
O (0.2326, 0.5323, 0.2998)

Values from the calculation:
ΔE to the lowest computed polymorph = 40 meV/atom
SG = No. 109



6.
A plane-wave DFT calculation with PBE was carried out for a geometry-optimized InIrO3 structure.

Cell lengths 4.0909, 4.0909, 4.0909 Å; angles 90.00, 90.00, 90.00 degrees
Sites, in units of the cell vectors:
Ir (0.5000, 0.5000, 0.5000)
O (0.0000, 0.5000, 0.0000)
O (0.0000, 0.0000, 0.5000)
O (0.5000, 0.0000, 0.0000)
In (0.0000, 0.0000, 0.0000)

Values from the calculation:
SG = No. 221
E_tot = -4.816 eV/atom



7.
A plane-wave DFT calculation with PBE was carried out for a geometry-optimized In12Ir3O5 structure.

Cell lengths 12.7202, 12.7202, 12.7202 Å; angles 109.47, 109.47, 109.47 degrees
Sites, in units of the cell vectors:
Ir (0.7500, 0.3750, 0.1250)
Ir (0.8750, 0.7500, 0.1250)
Ir (0.3750, 0.7500, 0.6250)
Ir (0.2500, 0.1250, 0.3750)
Ir (0.8750, 0.1250, 0.2500)
Ir (0.3750, 0.6250, 0.2500)
Ir (0.6250, 0.3750, 0.7500)
Ir (0.1250, 0.8750, 0.7500)
Ir (0.7500, 0.8750, 0.6250)
Ir (0.6250, 0.2500, 0.3750)
Ir (0.1250, 0.2500, 0.8750)
Ir (0.2500, 0.6250, 0.8750)
O (0.1250, 0.3750, 0.2500)
O (0.0000, 0.5000, 0.0000)
O (0.0000, 0.0000, 0.0000)
O (0.3750, 0.2500, 0.1250)
O (0.5000, 0.0000, 0.5000)
O (0.5000, 0.5000, 0.0000)
O (0.1250, 0.7500, 0.3750)
O (0.7500, 0.1250, 0.8750)
O (0.7500, 0.6250, 0.3750)
O (0.3750, 0.1250, 0.7500)
O (0.6250, 0.8750, 0.2500)
O (0.5000, 0.5000, 0.5000)
O (0.5000, 0.0000, 0.0000)
O (0.0000, 0.0000, 0.5000)
O (0.2500, 0.3750, 0.6250)
O (0.2500, 0.8750, 0.1250)
O (0.0000, 0.5000, 0.5000)
O (0.8750, 0.2500, 0.6250)
O (0.6250, 0.7500, 0.8750)
O (0.8750, 0.6250, 0.7500)
In (0.7209, 0.1317, 0.0424)
In (0.3214, 0.5424, 0.4107)
In (0.9576, 0.3683, 0.2791)
In (0.5424, 0.2209, 0.1317)
In (0.5893, 0.7209, 0.6786)
In (0.9576, 0.5893, 0.1786)
In (0.3214, 0.7791, 0.4107)
In (0.0893, 0.9107, 0.1317)
In (0.5893, 0.9576, 0.6786)
In (0.7209, 0.5893, 0.1786)
In (0.7791, 0.4576, 0.3683)
In (0.8214, 0.9107, 0.0424)
In (0.1317, 0.7209, 0.5424)
In (0.3683, 0.4107, 0.0893)
In (0.0893, 0.9107, 0.3683)
In (0.4107, 0.1317, 0.5893)
In (0.0893, 0.1786, 0.2209)
In (0.4576, 0.6786, 0.0893)
In (0.8214, 0.9107, 0.2791)
In (0.1317, 0.4107, 0.0893)
In (0.3683, 0.9576, 0.7791)
In (0.5893, 0.6317, 0.4107)
In (0.9107, 0.8214, 0.5424)
In (0.7791, 0.3214, 0.9107)
In (0.4107, 0.3683, 0.5893)
In (0.0893, 0.1786, 0.4576)
In (0.2209, 0.6786, 0.0893)
In (0.1786, 0.0893, 0.7209)
In (0.6317, 0.0424, 0.2209)
In (0.8683, 0.5893, 0.9107)
In (0.5424, 0.3214, 0.9107)
In (0.5893, 0.8683, 0.4107)
In (0.9107, 0.8214, 0.7791)
In (0.9107, 0.0893, 0.6317)
In (0.8683, 0.2791, 0.4576)
In (0.1786, 0.0893, 0.9576)
In (0.6317, 0.5893, 0.9107)
In (0.4107, 0.0424, 0.3214)
In (0.2791, 0.4107, 0.8214)
In (0.2209, 0.5424, 0.6317)
In (0.9107, 0.0893, 0.8683)
In (0.6786, 0.2209, 0.5893)
In (0.4576, 0.7791, 0.8683)
In (0.0424, 0.4107, 0.8214)
In (0.4107, 0.2791, 0.3214)
In (0.0424, 0.6317, 0.7209)
In (0.6786, 0.4576, 0.5893)
In (0.2791, 0.8683, 0.9576)

Values from the calculation:
SG = No. 230
E_tot = -4.776 eV/atom



8.
A plane-wave DFT calculation with PBE was carried out for a geometry-optimized InIrO3 structure.

Cell lengths 3.9491, 3.9491, 3.9491 Å; angles 90.00, 90.00, 90.00 degrees
Sites, in units of the cell vectors:
Ir (0.0000, 0.0000, 0.0000)
O (0.0000, 0.5000, 0.0000)
O (0.0000, 0.0000, 0.5000)
O (0.5000, 0.0000, 0.0000)
In (0.5000, 0.5000, 0.5000)

Values from the calculation:
SG = No. 221
E_tot = -5.789 eV/atom



9.
A plane-wave DFT calculation with PBE was carried out for a geometry-optimized PaInIrO6 structure.

Cell lengths 4.9400, 4.9400, 9.9348 Å; angles 90.00, 90.00, 90.00 degrees
Sites, in units of the cell vectors:
Pa (0.5000, 0.5000, 0.5004)
Pa (0.0000, 0.0000, 0.0004)
In (0.5000, 0.5000, 0.1677)
In (0.0000, 0.0000, 0.6677)
Ir (0.5000, 0.5000, 0.8324)
Ir (0.0000, 0.0000, 0.3324)
O (0.1861, 0.8139, 0.4888)
O (0.8139, 0.1861, 0.4888)
O (0.3139, 0.3139, 0.9888)
O (0.6861, 0.6861, 0.9888)
O (0.1902, 0.8098, 0.1742)
O (0.8098, 0.1902, 0.1742)
O (0.3098, 0.3098, 0.6742)
O (0.6902, 0.6902, 0.6742)
O (0.7873, 0.2127, 0.8367)
O (0.2127, 0.7873, 0.8367)
O (0.7127, 0.7127, 0.3367)
O (0.2873, 0.2873, 0.3367)

Values from the calculation:
SG = No. 102
E_tot = -7.633 eV/atom



10.
A plane-wave DFT calculation with PBE was carried out for a geometry-optimized InIrPb2O structure.

Cell lengths 4.9216, 4.4940, 4.9216 Å; angles 90.00, 90.00, 90.00 degrees
Sites, in units of the cell vectors:
Pb (0.0000, 0.0000, 0.5000)
Pb (0.5000, 0.0000, 0.0000)
Ir (0.5000, 0.5000, 0.5000)
O (0.0000, 0.0000, 0.0000)
In (0.0000, 0.5000, 0.0000)

Values from the calculation:
SG = No. 123
E_tot = -4.650 eV/atom



11.
A plane-wave DFT calculation with PBE was carried out for a geometry-optimized InIrPbO6 structure.

Cell lengths 5.5092, 5.5092, 9.3561 Å; angles 90.00, 90.00, 120.00 degrees
Sites, in units of the cell vectors:
In (0.3333, 0.6667, 0.2500)
In (0.6667, 0.3333, 0.7500)
Ir (0.6667, 0.3333, 0.2500)
Ir (0.3333, 0.6667, 0.7500)
Pb (0.0000, 0.0000, 0.0000)
Pb (0.0000, 0.0000, 0.5000)
O (0.6486, 0.6174, 0.1333)
O (0.9688, 0.3514, 0.1333)
O (0.3514, 0.9688, 0.6333)
O (0.0312, 0.6486, 0.8667)
O (0.3826, 0.3514, 0.3667)
O (0.9688, 0.6174, 0.3667)
O (0.6174, 0.9688, 0.8667)
O (0.6486, 0.0312, 0.3667)
O (0.0312, 0.3826, 0.6333)
O (0.3826, 0.0312, 0.1333)
O (0.6174, 0.6486, 0.6333)
O (0.3514, 0.3826, 0.8667)

Values from the calculation:
SG = No. 163
E_tot = -5.939 eV/atom



12.
A plane-wave DFT calculation with PBE was carried out for a geometry-optimized PmInIrO6 structure.

Cell lengths 5.4443, 5.4443, 9.8937 Å; angles 90.00, 90.00, 120.00 degrees
Sites, in units of the cell vectors:
Pm (0.0000, 0.0000, 0.0000)
Pm (0.0000, 0.0000, 0.5000)
In (0.3333, 0.6667, 0.2500)
In (0.6667, 0.3333, 0.7500)
Ir (0.6667, 0.3333, 0.2500)
Ir (0.3333, 0.6667, 0.7500)
O (0.6581, 0.6258, 0.1385)
O (0.9677, 0.3419, 0.1385)
O (0.3419, 0.9677, 0.6385)
O (0.0323, 0.6581, 0.8615)
O (0.3742, 0.3419, 0.3615)
O (0.9677, 0.6258, 0.3615)
O (0.6258, 0.9677, 0.8615)
O (0.6581, 0.0323, 0.3615)
O (0.0323, 0.3742, 0.6385)
O (0.3742, 0.0323, 0.1385)
O (0.6258, 0.6581, 0.6385)
O (0.3419, 0.3742, 0.8615)

Values from the calculation:
SG = No. 163
E_tot = -6.746 eV/atom



13.
A plane-wave DFT calculation with PBE was carried out for a geometry-optimized Rb2InIr3O12 structure.

Cell lengths 7.4209, 7.4209, 7.4209 Å; angles 58.91, 58.91, 58.91 degrees
Sites, in units of the cell vectors:
Rb (0.6186, 0.6186, 0.6186)
Rb (0.3814, 0.3814, 0.3814)
In (0.0000, 0.0000, 0.0000)
Ir (0.5000, 0.0000, 0.0000)
Ir (0.0000, 0.5000, 0.0000)
Ir (0.0000, 0.0000, 0.5000)
O (0.3122, 0.3122, 0.9177)
O (0.9215, 0.9215, 0.3508)
O (0.3508, 0.9215, 0.9215)
O (0.9177, 0.3122, 0.3122)
O (0.9215, 0.3508, 0.9215)
O (0.3122, 0.9177, 0.3122)
O (0.6878, 0.6878, 0.0823)
O (0.0785, 0.0785, 0.6492)
O (0.6492, 0.0785, 0.0785)
O (0.0823, 0.6878, 0.6878)
O (0.0785, 0.6492, 0.0785)
O (0.6878, 0.0823, 0.6878)

Values from the calculation:
SG = No. 166
E_tot = -5.944 eV/atom



14.
A plane-wave DFT calculation with PBE was carried out for a geometry-optimized InIrRhO2 structure.

Cell lengths 3.9334, 5.6577, 3.9334 Å; angles 90.00, 90.00, 90.00 degrees
Sites, in units of the cell vectors:
Ir (0.5000, 0.5000, 0.5000)
Rh (0.0000, 0.5000, 0.0000)
O (0.0000, 0.0000, 0.5000)
O (0.5000, 0.0000, 0.0000)
In (0.0000, 0.0000, 0.0000)

Values from the calculation:
SG = No. 123
E_tot = -4.964 eV/atom



15.
A plane-wave DFT calculation with PBE was carried out for a geometry-optimized ScInIr2O structure.

Cell lengths 4.9795, 3.8323, 4.9795 Å; angles 90.00, 90.00, 90.00 degrees
Sites, in units of the cell vectors:
Sc (0.0000, 0.0000, 0.0000)
Ir (0.0000, 0.0000, 0.5000)
Ir (0.5000, 0.0000, 0.0000)
O (0.0000, 0.5000, 0.0000)
In (0.5000, 0.5000, 0.5000)

Values from the calculation:
SG = No. 123
E_tot = -6.089 eV/atom



16.
A plane-wave DFT calculation with PBE was carried out for a geometry-optimized InSi2IrO structure.

Cell lengths 5.0943, 3.8339, 5.0943 Å; angles 90.00, 90.00, 90.00 degrees
Sites, in units of the cell vectors:
Si (0.0000, 0.0000, 0.5000)
Si (0.5000, 0.0000, 0.0000)
Ir (0.5000, 0.5000, 0.5000)
O (0.0000, 0.5000, 0.0000)
In (0.0000, 0.0000, 0.0000)

Values from the calculation:
SG = No. 123
E_tot = -4.246 eV/atom



17.
A plane-wave DFT calculation with PBE was carried out for a geometry-optimized SmInIrO6 structure.

Cell lengths 5.5671, 5.5671, 8.9137 Å; angles 90.00, 90.00, 120.00 degrees
Sites, in units of the cell vectors:
Sm (0.3333, 0.6667, 0.2500)
Sm (0.6667, 0.3333, 0.7500)
In (0.0000, 0.0000, 0.0000)
In (0.0000, 0.0000, 0.5000)
Ir (0.6667, 0.3333, 0.2500)
Ir (0.3333, 0.6667, 0.7500)
O (0.6794, 0.6314, 0.1260)
O (0.9520, 0.3206, 0.1260)
O (0.3206, 0.9520, 0.6260)
O (0.0480, 0.6794, 0.8740)
O (0.3686, 0.3206, 0.3740)
O (0.9520, 0.6314, 0.3740)
O (0.6314, 0.9520, 0.8740)
O (0.6794, 0.0480, 0.3740)
O (0.0480, 0.3686, 0.6260)
O (0.3686, 0.0480, 0.1260)
O (0.6314, 0.6794, 0.6260)
O (0.3206, 0.3686, 0.8740)

Values from the calculation:
SG = No. 163
E_tot = -6.650 eV/atom



18.
A plane-wave DFT calculation with PBE was carried out for a geometry-optimized Sr2InIrO8 structure.

Cell lengths 4.8603, 5.3511, 7.3051 Å; angles 88.17, 87.13, 95.07 degrees
Sites, in units of the cell vectors:
Sr (0.4188, 0.4940, 0.7567)
Sr (0.5812, 0.5060, 0.2433)
In (0.0000, 0.0000, 0.5000)
Ir (0.0000, 0.0000, 0.0000)
O (0.1294, 0.7425, 0.1426)
O (0.6815, 0.7940, 0.9634)
O (0.8358, 0.1168, 0.2196)
O (0.8706, 0.2575, 0.8574)
O (0.3185, 0.2060, 0.0366)
O (0.1642, 0.8832, 0.7804)
O (0.7180, 0.7133, 0.5180)
O (0.2820, 0.2867, 0.4820)

Values from the calculation:
SG = No. 2
E_tot = -5.891 eV/atom